# 1
Computed, not measured: a relaxed structure of SrHgO3 at the GGA-PBE level of DFT.

## Properties
Formation energy (no corrections): -1.1441 eV/atom
Size of the total moment: 0.117 μB per atom
Crystal system: monoclinic

a b c (Å): 4.8425 4.1047 10.2805
angles (deg): 90.00 101.86 90.00
Space group P2/m (No. 10)
Asymmetric unit:
Sr 0.1372 0.0000 0.2413 [2 per cell]
Hg 0.3000 0.5000 0.6151 [2 per cell]
O 0.0509 0.5000 0.0654 [2 per cell]
O 0.1977 0.5000 0.3795 [2 per cell]
O 0.3402 0.0000 0.7069 [2 per cell]

***

# 2
Computed, not measured: a relaxed structure of Sr3Hg5O12 at the GGA-PBE level of DFT.

## Properties
Formation energy (no corrections): -0.7266 eV/atom
Size of the total moment: 0.000 μB per atom
Crystal system: cubic

a b c (Å): 13.7523 13.7523 13.7523
angles (deg): 90.00 90.00 90.00
Space group Ia-3d (No. 230)
Asymmetric unit:
Sr 0.0000 0.2500 0.1250 [24 per cell]
Hg 0.0000 0.0000 0.0000 [16 per cell]
Hg 0.0000 0.2500 0.3750 [24 per cell]
O 0.0196 0.0548 0.6435 [96 per cell]

***

# 3
Computed, not measured: a relaxed structure of Sr4Hg2O at the GGA-PBE level of DFT.

## Properties
E above lowest polymorph: 26 meV/atom
Formation energy (no corrections): -1.0103 eV/atom
Size of the total moment: 0.000 μB per atom
Crystal system: tetragonal

a b c (Å): 5.0147 5.0147 17.7884
angles (deg): 90.00 90.00 90.00
Space group I4/mmm (No. 139)
Asymmetric unit:
Sr 0.0000 0.0000 0.1743 [4 per cell]
Sr 0.0000 0.5000 0.0000 [4 per cell]
Hg 0.0000 0.0000 0.3626 [4 per cell]
O 0.0000 0.0000 0.0000 [2 per cell]